[1]
Compound: Ag2PdCl6
Source: the Alexandria database
Functional: PBE
Structure: relaxed

space-group type: No. 14
E_form (uncorrected): -3.82 eV per formula unit

a = 6.6956 Å, b = 6.1890 Å, c = 12.8289 Å
α = 90.00°, β = 121.43°, γ = 90.00°
With the nearest neighbours (Å) after each atom.
Sites, in units of the cell vectors:
Ag (0.1867, 0.0012, 0.1864)  6 Cl 2.64-2.78
Ag (0.1867, 0.4988, 0.6864)  6 Cl 2.64-2.78
Ag (0.8133, 0.5012, 0.3136)  6 Cl 2.64-2.78
Ag (0.8133, 0.9988, 0.8136)  6 Cl 2.64-2.78
Pd (0.5000, 0.0000, 0.0000)  6 Cl 2.35-2.39
Pd (0.5000, 0.5000, 0.5000)  6 Cl 2.35-2.39
Cl (0.1991, 0.2204, 0.8452)  1 Pd 2.39, 1 Ag 2.64
Cl (0.1991, 0.2796, 0.3452)  1 Pd 2.39, 1 Ag 2.64
Cl (0.2062, 0.7077, 0.5007)  1 Pd 2.35
Cl (0.2062, 0.7923, 0.0007)  1 Pd 2.35
Cl (0.4931, 0.7242, 0.3468)  1 Pd 2.39, 1 Ag 2.64
Cl (0.4931, 0.7758, 0.8468)  1 Pd 2.39, 1 Ag 2.64
Cl (0.5069, 0.2242, 0.1532)  1 Pd 2.39, 1 Ag 2.64
Cl (0.5069, 0.2758, 0.6532)  1 Pd 2.39, 1 Ag 2.64
Cl (0.7938, 0.2077, 0.9993)  1 Pd 2.35
Cl (0.7938, 0.2923, 0.4993)  1 Pd 2.35
Cl (0.8009, 0.7204, 0.6548)  1 Pd 2.39, 1 Ag 2.64
Cl (0.8009, 0.7796, 0.1548)  1 Pd 2.39, 1 Ag 2.64

[2]
Compound: NiAsPd
Source: the Alexandria database
Functional: PBE
Structure: relaxed

space-group type: No. 187
formation energy: -236 meV/atom

a = 4.0158 Å, b = 4.0158 Å, c = 3.0853 Å
α = 90.00°, β = 90.00°, γ = 120.00°
With the nearest neighbours (Å) after each atom.
Sites, in units of the cell vectors:
Ni (0.0000, 0.0000, 0.0000)  3 As 2.32
As (0.3333, 0.6667, 0.0000)  3 Ni 2.32
Pd (0.6667, 0.3333, 0.5000)  6 Ni 2.78, 6 As 2.78, 2 Pd 3.09

[3]
Compound: ReW2
Source: the Alexandria database
Functional: PBE
Structure: relaxed

space-group type: No. 12
formation energy: 66 meV/atom

a = 9.9993 Å, b = 3.1585 Å, c = 6.3237 Å
α = 90.00°, β = 108.53°, γ = 90.00°
With the nearest neighbours (Å) after each atom.
Sites, in units of the cell vectors:
Re (0.1644, 0.0000, 0.0848)  6 W 2.72-2.73, 2 Re 2.78
Re (0.3356, 0.5000, 0.9152)  6 W 2.72-2.73, 2 Re 2.78
Re (0.6644, 0.5000, 0.0848)  6 W 2.72-2.73, 2 Re 2.78
Re (0.8356, 0.0000, 0.9152)  6 W 2.72-2.73, 2 Re 2.78
W (0.0023, 0.5000, 0.7502)  4 Re 2.72-2.73, 4 W 2.72-2.75
W (0.1672, 0.0000, 0.5838)  6 W 2.72-2.75, 2 Re 2.73
W (0.3328, 0.5000, 0.4162)  6 W 2.72-2.75, 2 Re 2.73
W (0.4977, 0.0000, 0.2498)  4 Re 2.72-2.73, 4 W 2.72-2.75
W (0.5023, 0.0000, 0.7502)  4 Re 2.72-2.73, 4 W 2.72-2.75
W (0.6672, 0.5000, 0.5838)  6 W 2.72-2.75, 2 Re 2.73
W (0.8328, 0.0000, 0.4162)  6 W 2.72-2.75, 2 Re 2.73
W (0.9977, 0.5000, 0.2498)  4 Re 2.72-2.73, 4 W 2.72-2.75

[4]
Compound: Nd3GaTeBr
Source: the Alexandria database
Functional: PBE
Structure: relaxed

space-group type: No. 11
E_form (uncorrected): -6.19 eV per formula unit

a = 8.1970 Å, b = 4.1359 Å, c = 11.1761 Å
α = 90.00°, β = 109.57°, γ = 90.00°
With the nearest neighbours (Å) after each atom.
Sites, in units of the cell vectors:
Nd (0.0307, 0.2500, 0.2776)  1 Br 3.02, 3 Ga 3.04-3.08, 2 Te 3.23
Nd (0.2305, 0.2500, 0.0396)  3 Br 3.12-3.25, 2 Te 3.29
Nd (0.3530, 0.7500, 0.5826)  3 Ga 3.03-3.34, 3 Te 3.24-3.30, 1 Br 3.30
Nd (0.6470, 0.2500, 0.4174)  3 Ga 3.03-3.34, 3 Te 3.24-3.30, 1 Br 3.30
Nd (0.7695, 0.7500, 0.9604)  3 Br 3.12-3.25, 2 Te 3.29
Nd (0.9693, 0.7500, 0.7224)  1 Br 3.02, 3 Ga 3.04-3.08, 2 Te 3.23
Ga (0.0751, 0.2500, 0.5624)  2 Ga 2.57
Ga (0.9249, 0.7500, 0.4376)  2 Ga 2.57
Te (0.3359, 0.7500, 0.2831)  7 Nd 3.23-3.30
Te (0.6641, 0.2500, 0.7169)  7 Nd 3.23-3.30
Br (0.3502, 0.7500, 0.8772)  5 Nd 3.02-3.30
Br (0.6498, 0.2500, 0.1228)  5 Nd 3.02-3.30

[5]
Compound: Na2NbAs2
Source: the Alexandria database
Functional: PBE
Structure: relaxed

space-group type: No. 127
formation energy: -143 meV/atom

a = 6.8405 Å, b = 6.8405 Å, c = 4.7193 Å
α = 90.00°, β = 90.00°, γ = 90.00°
With the nearest neighbours (Å) after each atom.
Sites, in units of the cell vectors:
Na (0.1664, 0.3336, 0.0000)  6 As 2.99-3.18, 1 Na 3.22
Na (0.3336, 0.8336, 0.0000)  6 As 2.99-3.18, 1 Na 3.22
Na (0.6664, 0.1664, 0.0000)  6 As 2.99-3.18, 1 Na 3.22
Na (0.8336, 0.6664, 0.0000)  6 As 2.99-3.18, 1 Na 3.22
Nb (0.0000, 0.0000, 0.5000)  4 As 2.63
Nb (0.5000, 0.5000, 0.5000)  4 As 2.63
As (0.1443, 0.6443, 0.5000)  2 Nb 2.63, 1 As 2.79
As (0.3557, 0.1443, 0.5000)  2 Nb 2.63, 1 As 2.79
As (0.6443, 0.8557, 0.5000)  2 Nb 2.63, 1 As 2.79
As (0.8557, 0.3557, 0.5000)  2 Nb 2.63, 1 As 2.79

[6]
Compound: KCa2Ta
Source: the Alexandria database
Functional: PBE
Structure: relaxed

space-group type: No. 25
formation energy: 957 meV/atom

a = 3.3519 Å, b = 5.1903 Å, c = 8.6160 Å
α = 90.00°, β = 90.00°, γ = 90.00°
With the nearest neighbours (Å) after each atom.
Sites, in units of the cell vectors:
K (0.0000, 0.0000, 0.0000)  2 K 3.35, 1 Ca 3.63
Ca (0.0000, 0.0000, 0.4214)  4 Ta 3.29, 2 Ca 3.35, 1 K 3.63
Ca (0.5000, 0.5000, 0.6570)  1 Ta 3.15, 2 Ca 3.35
Ta (0.5000, 0.5000, 0.2914)  5 Ca 3.15-3.29, 2 Ta 3.35

[7]
Compound: SrSmEr2
Source: the Alexandria database
Functional: PBE
Structure: relaxed

space-group type: No. 166
formation energy: 235 meV/atom

a = 3.6066 Å, b = 3.6066 Å, c = 38.2331 Å
α = 90.00°, β = 90.00°, γ = 120.00°
With the nearest neighbours (Å) after each atom.
Sites, in units of the cell vectors:
Sr (0.0000, 0.0000, 0.0000)  2 Er 3.54, 6 Sr 3.61
Sr (0.3333, 0.6667, 0.6667)  2 Er 3.54, 6 Sr 3.61
Sr (0.6667, 0.3333, 0.3333)  2 Er 3.54, 6 Sr 3.61
Sm (0.0000, 0.0000, 0.5000)  6 Er 3.51, 6 Sm 3.61
Sm (0.3333, 0.6667, 0.1667)  6 Er 3.51, 6 Sm 3.61
Sm (0.6667, 0.3333, 0.8333)  6 Er 3.51, 6 Sm 3.61
Er (0.0000, 0.0000, 0.0926)  3 Sm 3.51, 1 Sr 3.54, 6 Er 3.61
Er (0.0000, 0.0000, 0.9074)  3 Sm 3.51, 1 Sr 3.54, 6 Er 3.61
Er (0.3333, 0.6667, 0.5740)  3 Sm 3.51, 1 Sr 3.54, 6 Er 3.61
Er (0.3333, 0.6667, 0.7593)  3 Sm 3.51, 1 Sr 3.54, 6 Er 3.61
Er (0.6667, 0.3333, 0.2407)  3 Sm 3.51, 1 Sr 3.54, 6 Er 3.61
Er (0.6667, 0.3333, 0.4260)  3 Sm 3.51, 1 Sr 3.54, 6 Er 3.61

[8]
Compound: TbPd6Au23
Source: the Alexandria database
Functional: PBE
Structure: relaxed

space-group type: No. 139
formation energy: -141 meV/atom

a = 10.0933 Å, b = 10.0933 Å, c = 10.0933 Å
α = 132.34°, β = 132.34°, γ = 69.69°
With the nearest neighbours (Å) after each atom.
Sites, in units of the cell vectors:
Tb (0.0000, 0.0000, 0.0000)  4 Pd 2.87, 8 Au 2.99
Pd (0.2482, 0.2482, 0.0000)  12 Au 2.88-2.90
Pd (0.2486, 0.2486, 0.4972)  1 Tb 2.87, 11 Au 2.88-2.95
Pd (0.2486, 0.7514, 0.0000)  1 Tb 2.87, 11 Au 2.88-2.95
Pd (0.7514, 0.2486, 0.0000)  1 Tb 2.87, 11 Au 2.88-2.95
Pd (0.7514, 0.7514, 0.5028)  1 Tb 2.87, 11 Au 2.88-2.95
Pd (0.7518, 0.7518, 0.0000)  12 Au 2.88-2.90
Au (0.0000, 0.0000, 0.5000)  8 Au 2.86-2.89, 2 Pd 2.88
Au (0.0000, 0.5000, 0.0000)  8 Au 2.86-2.89, 2 Pd 2.88
Au (0.0000, 0.5000, 0.5000)  4 Pd 2.88, 8 Au 2.92-2.93
Au (0.1246, 0.3736, 0.7510)  8 Au 2.85-2.93, 3 Pd 2.90-2.93
Au (0.1278, 0.8710, 0.2568)  7 Au 2.85-2.96, 3 Pd 2.88-2.95, 1 Tb 2.99
Au (0.1290, 0.3859, 0.2568)  7 Au 2.85-2.96, 3 Pd 2.88-2.95, 1 Tb 2.99
Au (0.1290, 0.8722, 0.7432)  7 Au 2.85-2.96, 3 Pd 2.88-2.95, 1 Tb 2.99
Au (0.3736, 0.1246, 0.7510)  8 Au 2.85-2.93, 3 Pd 2.90-2.93
Au (0.3736, 0.6226, 0.2490)  8 Au 2.85-2.93, 3 Pd 2.90-2.93
Au (0.3774, 0.6264, 0.7510)  8 Au 2.85-2.93, 3 Pd 2.90-2.93
Au (0.3859, 0.1290, 0.2568)  7 Au 2.85-2.96, 3 Pd 2.88-2.95, 1 Tb 2.99
Au (0.5000, 0.0000, 0.0000)  8 Au 2.86-2.89, 2 Pd 2.88
Au (0.5000, 0.0000, 0.5000)  4 Pd 2.88, 8 Au 2.92-2.93
Au (0.5000, 0.5000, 0.0000)  4 Pd 2.90, 8 Au 2.92
Au (0.5000, 0.5000, 0.5000)  8 Au 2.86-2.89, 2 Pd 2.88
Au (0.6141, 0.8710, 0.7432)  7 Au 2.85-2.96, 3 Pd 2.88-2.95, 1 Tb 2.99
Au (0.6226, 0.3736, 0.2490)  8 Au 2.85-2.93, 3 Pd 2.90-2.93
Au (0.6264, 0.3774, 0.7510)  8 Au 2.85-2.93, 3 Pd 2.90-2.93
Au (0.6264, 0.8754, 0.2490)  8 Au 2.85-2.93, 3 Pd 2.90-2.93
Au (0.8710, 0.1278, 0.2568)  7 Au 2.85-2.96, 3 Pd 2.88-2.95, 1 Tb 2.99
Au (0.8710, 0.6141, 0.7432)  7 Au 2.85-2.96, 3 Pd 2.88-2.95, 1 Tb 2.99
Au (0.8722, 0.1290, 0.7432)  7 Au 2.85-2.96, 3 Pd 2.88-2.95, 1 Tb 2.99
Au (0.8754, 0.6264, 0.2490)  8 Au 2.85-2.93, 3 Pd 2.90-2.93